Record 1
Mo2PPt | PBE | optimized geometry

Properties
**Total DFT energy (no corrections)**: -8.27 eV/atom
**Energy relative to the elements**: 0.0129 eV per atom

abc: 2.8745 2.8745 25.6667
angles: 90.00 90.00 120.00
Space group R3m (No. 160, hexagonal axes)
One atom of each set of equivalent atoms:
Mo  0.0000  0.0000  0.0000
Mo  0.0000  0.0000  0.2417
P  0.0000  0.0000  0.5050
Pt  0.0000  0.0000  0.7529



Record 2
MoP2Pt | PBE | optimized geometry

Properties
**Total DFT energy (no corrections)**: -6.73 eV/atom
**Energy relative to the elements**: 0.1909 eV per atom

abc: 3.3675 4.8499 7.3453
angles: 90.00 90.00 90.00
Space group Cmmm (No. 65)
One atom of each set of equivalent atoms:
Mo  0.0000  0.0000  0.0000
P  0.0000  0.5000  0.2431
Pt  0.0000  0.0000  0.5000



Record 3
MoPPt2 | PBE | optimized geometry

Properties
**Total DFT energy (no corrections)**: -7.27 eV/atom
**Energy relative to the elements**: -0.1907 eV per atom

abc: 3.0785 4.2533 9.0627
angles: 90.00 90.00 90.00
Space group Immm (No. 71)
One atom of each set of equivalent atoms:
Mo  0.0000  0.0000  0.0000
P  0.0000  0.0000  0.5000
Pt  0.0000  0.5000  0.2149



Record 4
MoP2Pt | PBE | optimized geometry

Properties
**Total DFT energy (no corrections)**: -7.01 eV/atom
**Energy relative to the elements**: -0.0908 eV per atom

abc: 3.0735 3.0735 22.1045
angles: 90.00 90.00 120.00
Space group R3m (No. 160, hexagonal axes)
One atom of each set of equivalent atoms:
Mo  0.0000  0.0000  0.0000
P  0.0000  0.0000  0.2584
P  0.0000  0.0000  0.5113
Pt  0.0000  0.0000  0.7722



Record 5
Mo2PPt | PBE | optimized geometry

Properties
**Total DFT energy (no corrections)**: -8.20 eV/atom
**Energy relative to the elements**: 0.0781 eV per atom

abc: 3.4007 4.4312 8.0840
angles: 90.00 90.00 90.00
Space group Cmm2 (No. 35)
One atom of each set of equivalent atoms:
Mo  0.0000  0.0000  0.0000
Mo  0.0000  0.5000  0.2671
P  0.0000  0.0000  0.4931
Pt  0.0000  0.5000  0.7332



Record 6
Mo2PPt | PBE | optimized geometry

Properties
**Total DFT energy (no corrections)**: -7.98 eV/atom
**Energy relative to the elements**: 0.3006 eV per atom

abc: 6.2481 6.2481 6.2481
angles: 90.00 90.00 90.00
Space group F-43m (No. 216)
One atom of each set of equivalent atoms:
Mo  0.0000  0.0000  0.0000
Mo  0.2500  0.2500  0.2500
P  0.0000  0.0000  0.5000
Pt  0.2500  0.2500  0.7500



Record 7
MoPPt2 | PBE | optimized geometry

Properties
**Total DFT energy (no corrections)**: -7.29 eV/atom
**Energy relative to the elements**: -0.2104 eV per atom

abc: 2.9588 2.9588 6.7974
angles: 90.00 90.00 90.00
Space group P4mm (No. 99)
One atom of each set of equivalent atoms:
Mo  0.0000  0.0000  0.0000
P  0.5000  0.5000  0.1975
Pt  0.0000  0.0000  0.4248
Pt  0.5000  0.5000  0.7309



Record 8
MoPPt2 | PBE | optimized geometry

Properties
**Total DFT energy (no corrections)**: -6.84 eV/atom
**Energy relative to the elements**: 0.2447 eV per atom

abc: 4.7054 4.7054 13.9127
angles: 90.00 90.00 90.00
Space group I-42d (No. 122)
One atom of each set of equivalent atoms:
Mo  0.0000  0.0000  0.0000
P  0.0000  0.0000  0.5000
Pt  0.1988  0.2500  0.6250